Entry from Alexandria: a relaxed NaFeP2O crystal (PBE with a Hubbard U).

The structure in POSCAR format:
```
NaFeP2O
1.0
-4.4488 -1.9285 0.0794
1.7168 -4.0449 -2.0514
0.6769 -1.4225 3.3715
P Fe O Na
2 1 1 1
Direct
0.0000 0.5000 0.0000 P
0.5000 0.0000 0.0000 P
0.0000 0.0000 0.0000 Fe
0.0000 0.0000 0.5000 O
0.5000 0.5000 0.5000 Na
```

Results
- Space group: P4/mmm (123)
- Relative energy among the computed polymorphs: 0.0 meV per atom
- DOS(E_F): 3.08 states/eV/f.u.